This record from the Alexandria database describes BaCdW2 after structural relaxation. The functional is PBE.

The structure in POSCAR format:
```
BaCdW2
1.0
3.412 0.000 0.000
0.000 4.975 0.000
0.000 0.000 10.483
Ba Cd W
2 2 4
direct
0.000 0.000 0.000
0.500 0.500 0.000
0.000 0.500 0.302
0.500 0.000 0.302
0.000 0.000 0.535
0.000 0.500 0.717
0.500 0.000 0.717
0.500 0.500 0.535
```

Properties
calculated volume	177.9	Å³/cell
formation energy from the elements	0.77	eV/atom